[1]
10
Lattice="3.936 -3.958 0.000 3.936 3.958 0.000 -3.916 0.000 4.139" Properties=species:S:1:pos:R:3 comment="NdNbN2O (PBE, relaxed)" energy_ev_per_atom=-8.97 total_magnetization_mub_per_atom=0.000 pbc="T T T"
Nd 1.936 0.000 0.018
Nd 2.020 0.000 4.121
Nb 0.010 1.979 2.069
Nb 0.010 -1.979 2.069
N 3.936 2.076 0.000
N 0.585 0.000 2.145
N 3.371 0.000 1.994
N 3.936 -2.076 0.000
O 1.978 2.578 2.069
O 1.978 -2.578 2.069

[2]
10
Lattice="5.743 0.000 0.000 0.000 3.937 0.000 0.000 0.000 5.911" Properties=species:S:1:pos:R:3 comment="NdNbN2O (PBE, relaxed)" energy_ev_per_atom=-8.92 total_magnetization_mub_per_atom=0.000 pbc="T T T"
Nd 1.436 0.000 1.206
Nd 4.308 0.000 4.705
Nb 1.436 1.968 4.283
Nb 4.308 1.968 1.627
N 0.000 1.968 2.955
N 1.436 0.000 4.745
N 2.872 1.968 2.955
N 4.308 0.000 1.165
O 0.000 1.968 0.000
O 2.872 1.968 0.000

[3]
40
Lattice="5.682 0.000 0.000 0.000 9.906 0.000 -0.011 -3.138 9.399" Properties=species:S:1:pos:R:3 comment="NdNbN2O (PBE, relaxed)" energy_ev_per_atom=-9.06 total_magnetization_mub_per_atom=0.000 pbc="T T T"
Nd 0.000 0.000 0.000
Nd 0.015 3.349 4.641
Nd 2.690 1.726 2.392
Nd 2.722 5.104 7.123
Nd 2.821 5.302 0.495
Nd 2.869 -1.207 5.180
Nd 5.524 6.959 2.775
Nd 5.569 0.382 7.454
Nb -0.010 3.512 8.340
Nb 0.060 0.199 3.829
Nb 0.078 6.869 6.056
Nb 2.663 8.510 1.333
Nb 2.857 5.244 3.885
Nb 2.884 -1.404 8.454
Nb 2.920 1.994 6.113
Nb 5.504 3.588 1.340
N 0.399 5.012 0.137
N 0.399 -1.500 4.855
N 1.040 2.937 6.866
N 1.051 5.524 4.978
N 1.089 -0.481 2.184
N 1.489 7.259 7.375
N 1.510 4.611 9.259
N 1.524 1.199 4.542
N 3.245 0.209 0.368
N 3.239 3.608 5.046
N 3.874 2.596 7.762
N 3.896 6.460 4.915
N 3.916 3.082 0.218
N 4.339 -1.773 7.279
N 4.358 0.871 5.358
N 4.377 4.736 2.569
O 1.049 2.121 0.347
O 1.509 3.751 2.624
O 2.141 6.623 2.453
O 2.171 0.157 7.175
O 3.893 -0.919 3.039
O 4.334 7.353 0.765
O 4.994 5.338 7.513
O 5.003 1.882 2.724

[4]
20
Lattice="5.694 0.000 0.000 2.798 4.977 0.000 2.799 1.642 9.300" Properties=species:S:1:pos:R:3 comment="NdNbN2O (PBE, relaxed)" energy_ev_per_atom=-9.04 total_magnetization_mub_per_atom=0.000 pbc="T T T"
Nd 0.000 0.000 0.000
Nd 2.727 1.809 2.351
Nd 5.635 3.300 4.592
Nd 8.383 5.136 6.921
Nb 2.865 1.711 5.873
Nb 5.493 3.425 8.171
Nb 5.596 3.521 1.153
Nb 8.397 5.126 3.375
N 1.688 2.656 0.232
N 3.883 2.994 6.916
N 3.868 3.925 2.060
N 5.838 5.206 7.186
N 8.149 6.453 8.951
N 4.428 1.039 4.814
N 6.731 4.628 2.292
N 5.912 1.804 2.469
O 4.344 5.258 4.657
O 7.342 3.657 9.109
O 6.649 2.320 6.551
O 8.020 3.091 4.332

[5]
10
Lattice="-3.942 2.894 2.882 3.942 -2.894 2.882 3.942 2.894 -2.882" Properties=species:S:1:pos:R:3 comment="NdNbN2O (PBE, relaxed)" energy_ev_per_atom=-9.00 total_magnetization_mub_per_atom=0.000 pbc="T T T"
Nd 1.971 0.092 0.000
Nd 1.971 2.803 2.882
Nb 0.000 0.000 2.839
Nb 3.942 0.000 2.839
N 3.507 1.459 -1.296
N 4.377 -1.436 1.586
N 0.435 1.436 1.586
N 3.507 1.436 1.586
O 1.971 -0.599 3.095
O 1.971 3.494 0.212

[6]
20
Lattice="5.714 0.000 0.000 0.000 7.940 0.000 0.000 0.000 5.735" Properties=species:S:1:pos:R:3 comment="NdNbN2O (PBE, relaxed)" energy_ev_per_atom=-8.98 total_magnetization_mub_per_atom=0.000 pbc="T T T"
Nd 0.013 1.985 0.110
Nd 2.844 5.955 2.977
Nd 2.870 1.985 2.758
Nd 5.701 5.955 5.626
Nb 0.000 0.000 2.868
Nb 0.000 3.970 2.868
Nb 2.857 0.000 0.000
Nb 2.857 3.970 0.000
N 1.417 4.415 4.312
N 1.417 7.495 4.312
N 1.440 0.445 1.444
N 1.440 3.525 1.444
N 4.274 4.415 4.291
N 4.274 7.495 4.291
N 4.297 0.445 1.423
N 4.297 3.525 1.423
O 0.008 5.955 2.280
O 2.849 1.985 5.147
O 2.866 5.955 0.588
O 5.706 1.985 3.456

[7]
30
Lattice="6.367 0.000 0.000 -3.184 5.514 0.000 0.000 0.000 12.552" Properties=species:S:1:pos:R:3 comment="NdNbN2O (PBE, relaxed)" energy_ev_per_atom=-8.56 total_magnetization_mub_per_atom=0.001 pbc="T T T"
Nd 0.000 0.000 0.000
Nd 0.000 0.000 6.276
Nd 0.000 3.676 5.743
Nd 0.000 3.676 12.019
Nd 3.184 1.838 5.743
Nd 3.184 1.838 12.019
Nb -1.063 1.842 2.824
Nb -2.120 3.672 9.100
Nb 2.127 0.000 2.824
Nb 1.063 1.842 9.100
Nb 4.240 0.000 9.100
Nb 2.120 3.672 2.824
N -0.972 1.684 4.779
N -1.151 1.993 0.896
N -2.033 3.521 7.172
N -2.211 3.830 11.055
N 1.945 0.000 4.779
N 0.972 1.684 11.055
N 2.301 0.000 0.896
N 1.151 1.993 7.172
N 4.066 0.000 7.172
N 2.033 3.521 0.896
N 4.422 0.000 11.055
N 2.211 3.830 4.779
O 0.000 0.000 2.565
O 0.000 0.000 8.841
O 0.000 3.676 3.025
O 0.000 3.676 9.301
O 3.184 1.838 3.025
O 3.184 1.838 9.301

[8]
20
Lattice="7.874 0.000 0.000 0.000 5.789 0.000 0.000 0.000 5.768" Properties=species:S:1:pos:R:3 comment="NdNbN2O (PBE, relaxed)" energy_ev_per_atom=-9.00 total_magnetization_mub_per_atom=0.000 pbc="T T T"
Nd 0.000 1.357 0.000
Nd 0.000 4.432 2.884
Nd 3.937 1.537 5.748
Nd 3.937 4.252 2.864
Nb 1.969 1.447 2.838
Nb 1.969 4.342 5.722
Nb 5.905 1.447 2.838
Nb 5.905 4.342 5.722
N 1.538 0.008 1.591
N 1.538 5.781 4.475
N 2.401 2.871 1.575
N 2.401 2.918 4.459
N 5.474 2.871 1.575
N 5.474 2.918 4.459
N 6.336 0.008 1.591
N 6.336 5.781 4.475
O 0.000 2.043 3.110
O 0.000 3.746 0.226
O 3.937 0.851 3.124
O 3.937 4.939 0.240

Question: Number 3 is which compound?
Answer: NdNbN2O

Question: Number 2 is which compound?
Answer: NdNbN2O